Density functional theory data (GGA-PBE) for a geometry-optimized LiCeNdHg structure.

Output
**Calculated total energy**: -3.322 eV/atom
**ΔE_f**: -92 meV/atom
**Density of states at the Fermi level**: 11.0 states/eV/cell

Unit cell a=5.373 b=5.373 c=5.373 alpha=60.00 beta=60.00 gamma=60.00
Sites, in units of the cell vectors:
Li: 0.000 0.000 0.000
Ce: 0.750 0.750 0.750
Nd: 0.250 0.250 0.250
Hg: 0.500 0.500 0.500